Entry 1:
A crystal of Ag2Pt3 relaxed with PBEsol, computed with meta-GGA SCAN.

Crystal system: monoclinic
ΔH_f (0 K): 1.307 kcal/mol of atoms
Space-group type: P2/m, No. 10
Uncorrected energy: -54.61 eV/atom
Polymorph energy (0 for the lowest one): 70 meV per atom

Cell: 4.001 6.089 6.360 Å, 92.09 90.00 90.00°
Atoms (fractional coordinates):
1 Pt 0.500 0.098 0.701
2 Pt 0.000 0.397 0.806
3 Pt 0.500 0.695 0.904
4 Pt 0.500 0.305 0.096
5 Pt 0.000 0.603 0.194
6 Pt 0.500 0.902 0.299
7 Ag 0.000 0.202 0.400
8 Ag 0.500 0.500 0.500
9 Ag 0.000 0.798 0.600
10 Ag 0.000 0.000 0.000

---

Entry 2:
A crystal of AgPt5 relaxed with PBEsol, computed with meta-GGA SCAN.

Crystal system: orthorhombic
ΔH_f (0 K): 0.844 kcal/mol of atoms
Space-group type: Cmmm, No. 65
Uncorrected energy: -63.69 eV/atom

Cell: 3.903 3.949 6.210 Å, 71.46 90.00 90.00°
Atoms (fractional coordinates):
1 Pt 0.500 0.169 0.662
2 Pt 0.000 0.335 0.330
3 Pt 0.500 0.500 0.000
4 Pt 0.000 0.665 0.670
5 Pt 0.500 0.831 0.338
6 Ag 0.000 0.000 0.000

---

Entry 3:
A crystal of Ag7Pt5 relaxed with PBEsol, computed with meta-GGA SCAN.

Crystal system: orthorhombic
ΔH_f (0 K): 0.594 kcal/mol of atoms
Space-group type: Amm2, No. 38
Uncorrected energy: -47.52 eV/atom
Polymorph energy (0 for the lowest one): 37 meV per atom

Cell: 2.775 8.077 9.349 Å, 115.59 90.00 90.00°
Atoms (fractional coordinates):
1 Ag 0.000 0.498 0.499
2 Ag 0.500 0.834 0.668
3 Ag 0.000 0.169 0.834
4 Ag 0.500 0.503 0.005
5 Ag 0.000 0.000 0.499
6 Ag 0.000 0.665 0.834
7 Ag 0.500 0.665 0.329
8 Pt 0.000 0.843 0.167
9 Pt 0.500 0.166 0.333
10 Pt 0.500 0.332 0.664
11 Pt 0.500 0.001 0.001
12 Pt 0.000 0.324 0.167

---

Entry 4:
A crystal of Ag2Pt3 relaxed with PBEsol, computed with meta-GGA SCAN.

Crystal system: triclinic
ΔH_f (0 K): 0.951 kcal/mol of atoms
Space-group type: P-1, No. 2
Uncorrected energy: -54.62 eV/atom
Polymorph energy (0 for the lowest one): 55 meV per atom

Cell: 4.783 4.866 7.420 Å, 108.33 101.63 100.52°
Atoms (fractional coordinates):
1 Ag 0.849 0.700 0.950
2 Ag 0.151 0.300 0.050
3 Ag 0.753 0.501 0.247
4 Ag 0.247 0.499 0.753
5 Pt 0.460 0.914 0.157
6 Pt 0.059 0.104 0.354
7 Pt 0.354 0.706 0.453
8 Pt 0.646 0.294 0.547
9 Pt 0.941 0.896 0.646
10 Pt 0.540 0.086 0.843

---

> ΔH_f (0 K) of number 3 (Ag7Pt5)?

0.594 kcal/mol of atoms

---

> Which formula does entry 4 have?

Ag2Pt3

---

> Which formula does entry 1 have?

Ag2Pt3

---

> What is the uncorrected energy in the third record?

-47.52 eV/atom